Record 1
The following is a PBE calculation of crystalline Al2InIr at its relaxed geometry, from Alexandria.

Computed properties:
Fermi-level density of states	0.4020	states/eV per atom
energy	-4.982	eV per atom
ρ	8.73	g/cm3
space-group type	No. 25
energy of formation from the pure elements	-0.21	eV per atom

a b c (Å): 2.9683 3.8213 6.0540
angles (deg): 90.00 90.00 90.00
Atoms (fractional coordinates):
Al1 0.0000 0.0000 0.0000
Al2 0.5000 0.5000 0.2546
In1 0.0000 0.0000 0.5306
Ir1 0.5000 0.5000 0.8419

=====

Record 2
The following is a PBE calculation of crystalline AlIn2Ir at its relaxed geometry, from Alexandria.

Computed properties:
Fermi-level density of states	0.3112	states/eV per atom
energy	-4.448	eV per atom
ρ	10.00	g/cm3
space-group type	No. 12
energy of formation from the pure elements	0.07	eV per atom

a b c (Å): 9.6762 3.2118 4.8258
angles (deg): 90.00 96.56 90.00
Atoms (fractional coordinates):
Al1 0.0000 0.0000 0.0000
Al2 0.5000 0.5000 0.0000
In1 0.2398 0.0000 0.7426
In2 0.2602 0.5000 0.2574
In3 0.7398 0.5000 0.7426
In4 0.7602 0.0000 0.2574
Ir1 0.0000 0.5000 0.5000
Ir2 0.5000 0.0000 0.5000

=====

Record 3
The following is a PBE calculation of crystalline Al2InIr at its relaxed geometry, from Alexandria.

Computed properties:
Fermi-level density of states	0.4119	states/eV per atom
energy	-4.899	eV per atom
ρ	9.14	g/cm3
space-group type	No. 119
energy of formation from the pure elements	-0.13	eV per atom

a b c (Å): 4.0291 4.0291 8.0768
angles (deg): 90.00 90.00 90.00
Atoms (fractional coordinates):
Al1 0.0000 0.0000 0.0000
Al2 0.0000 0.5000 0.2500
Al3 0.5000 0.0000 0.7500
Al4 0.5000 0.5000 0.5000
In1 0.0000 0.5000 0.7500
In2 0.5000 0.0000 0.2500
Ir1 0.0000 0.0000 0.5000
Ir2 0.5000 0.5000 0.0000

=====

Record 4
The following is a PBE calculation of crystalline AlIn2Ir at its relaxed geometry, from Alexandria.

Computed properties:
Fermi-level density of states	0.6448	states/eV per atom
energy	-4.455	eV per atom
ρ	9.76	g/cm3
space-group type	No. 44
energy of formation from the pure elements	0.07	eV per atom

a b c (Å): 3.8454 4.5845 8.6610
angles (deg): 90.00 90.00 90.00
Atoms (fractional coordinates):
Al1 0.0000 0.0000 0.0000
Al2 0.5000 0.5000 0.5000
In1 0.0000 0.0000 0.5473
In2 0.0000 0.5000 0.7738
In3 0.5000 0.0000 0.2738
In4 0.5000 0.5000 0.0473
Ir1 0.0000 0.5000 0.3138
Ir2 0.5000 0.0000 0.8138

=====

Record 5
The following is a PBE calculation of crystalline AlIn2Ir at its relaxed geometry, from Alexandria.

Computed properties:
Fermi-level density of states	0.5844	states/eV per atom
energy	-4.358	eV per atom
ρ	9.53	g/cm3
space-group type	No. 166
energy of formation from the pure elements	0.16	eV per atom

a b c (Å): 3.1628 3.1628 27.0842
angles (deg): 90.00 90.00 120.00
Atoms (fractional coordinates):
Al1 0.0000 0.0000 0.0000
Al2 0.3333 0.6667 0.6667
Al3 0.6667 0.3333 0.3333
In1 0.0000 0.0000 0.2440
In2 0.0000 0.0000 0.7560
In3 0.3333 0.6667 0.4227
In4 0.3333 0.6667 0.9107
In5 0.6667 0.3333 0.0893
In6 0.6667 0.3333 0.5773
Ir1 0.0000 0.0000 0.5000
Ir2 0.3333 0.6667 0.1667
Ir3 0.6667 0.3333 0.8333

=====

Record 6
The following is a PBE calculation of crystalline AlInIr3 at its relaxed geometry, from Alexandria.

Computed properties:
Fermi-level density of states	0.9217	states/eV per atom
energy	-5.939	eV per atom
energy above the most stable polymorph in this dataset	0.00	eV/f.u.
ρ	13.19	g/cm3
space-group type	No. 221
energy of formation from the pure elements	0.67	eV per atom

a b c (Å): 4.4894 4.4894 4.4894
angles (deg): 90.00 90.00 90.00
Atoms (fractional coordinates):
Al1 0.0000 0.0000 0.0000
In1 0.5000 0.5000 0.5000
Ir1 0.0000 0.0000 0.5000
Ir2 0.0000 0.5000 0.0000
Ir3 0.5000 0.0000 0.0000

=====

Record 7
The following is a PBE calculation of crystalline Al2InIr at its relaxed geometry, from Alexandria.

Computed properties:
Fermi-level density of states	0.3779	states/eV per atom
energy	-4.990	eV per atom
ρ	8.65	g/cm3
space-group type	No. 6
energy of formation from the pure elements	-0.22	eV per atom

a b c (Å): 3.1870 4.3585 5.2237
angles (deg): 90.00 107.31 90.00
Atoms (fractional coordinates):
Al1 0.0000 0.0000 0.0000
Al2 0.4113 0.5000 0.8202
In1 0.6816 0.5000 0.3495
Ir1 0.2863 0.0000 0.5682

=====

Record 8
The following is a PBE calculation of crystalline Al2InIr at its relaxed geometry, from Alexandria.

Computed properties:
Fermi-level density of states	0.1524	states/eV per atom
energy	-4.896	eV per atom
ρ	9.16	g/cm3
space-group type	No. 123
energy of formation from the pure elements	-0.12	eV per atom

a b c (Å): 4.0758 4.0758 3.9385
angles (deg): 90.00 90.00 90.00
Atoms (fractional coordinates):
Al1 0.0000 0.5000 0.0000
Al2 0.5000 0.0000 0.0000
In1 0.0000 0.0000 0.5000
Ir1 0.5000 0.5000 0.5000